## NpMnNi2O6 (PBE+U)

Data for crystalline NpMnNi2O6 at its relaxed geometry.

## Properties
Final energy in eV per atom: -7.3906
Magnetic moment in μB/atom: 0.80
Theoretical density in Mg/m³: 7.098

Unit cell a=5.3064 b=5.3064 c=14.5420 alpha=90.00 beta=90.00 gamma=120.00
Space group R3 (No. 146, hexagonal axes)
Symmetry-distinct sites (fractional):
Np: 0.0000 0.0000 0.0000 x3
Mn: 0.0000 0.0000 0.4914 x3
Ni: 0.0000 0.0000 0.2004 x3
Ni: 0.0000 0.0000 0.6915 x3
O: 0.0207 0.3531 0.2635 x9
O: 0.0398 0.6790 0.7596 x9

## NpMn2NiO6 (PBE+U)

Data for crystalline NpMn2NiO6 at its relaxed geometry.

## Properties
Final energy in eV per atom: -7.9908
Magnetic moment in μB/atom: 1.10
Theoretical density in Mg/m³: 7.038

Unit cell a=5.374 b=5.542 c=9.580 alpha=90.00 beta=123.95 gamma=90.00
Space group P2_1/c (No. 14)
Symmetry-distinct sites (fractional):
Np: 0.000 0.000 0.000 x2
Mn: 0.262 0.050 0.754 x4
Ni: 0.500 0.000 0.500 x2
O: 0.121 0.071 0.249 x4
O: 0.252 0.688 0.074 x4
O: 0.381 0.185 0.062 x4

## NpMn2NiO8 (PBE+U)

Data for crystalline NpMn2NiO8 at its relaxed geometry.

## Properties
Final energy in eV per atom: -7.2336
Magnetic moment in μB/atom: 0.75
Theoretical density in Mg/m³: 5.872

Unit cell a=6.718 b=6.718 c=6.688 alpha=90.00 beta=90.00 gamma=90.00
Space group I-4m2 (No. 119)
Symmetry-distinct sites (fractional):
Np: 0.000 0.000 0.000 x2
Mn: 0.000 0.000 0.500 x2
Mn: 0.000 0.500 0.250 x2
Ni: 0.000 0.500 0.750 x2
O: 0.000 0.193 0.670 x8
O: 0.000 0.287 0.042 x8

Q: Which value of magnetic moment does entry 1 give?
A: 0.80 μB/atom